[1]
LiCaSnBi: optimized geometry, GGA-PBE.

Cell and atoms, written as extended XYZ:
```
4
Lattice="-4.216 0.470 3.254 -3.826 -3.735 -0.025 -0.539 -3.303 4.170" Properties=species:S:1:pos:R:3 pbc="T T T"
Li 0.000 0.000 0.000
Bi -6.436 -4.926 5.549
Sn -2.145 -1.642 1.850
Ca -4.290 -3.284 3.700
```

energy of formation from the pure elements: -438 meV per atom
DOS at the Fermi energy: 2.33 states/eV/cell
space group: F-43m (216)
magnetic moment: 0.000 μB/f.u.

[2]
SrLi2CaBi2: optimized geometry, GGA-PBE.

Cell and atoms, written as extended XYZ:
```
6
Lattice="-1.752 -2.718 3.681 4.641 -0.561 -1.466 2.361 5.663 5.306" Properties=species:S:1:pos:R:3 pbc="T T T"
Bi 3.137 0.223 1.658
Bi 2.113 2.160 5.862
Li 4.142 2.632 3.915
Li 1.109 -0.249 3.605
Sr 0.000 0.000 0.000
Ca 1.181 2.831 2.653
```

energy of formation from the pure elements: -805 meV per atom
DOS at the Fermi energy: 0.05 states/eV/cell
space group: P-3m1 (164)
magnetic moment: 0.000 μB/f.u.

[3]
Sr2Li3CaBi4: optimized geometry, GGA-PBE.

Cell and atoms, written as extended XYZ:
```
10
Lattice="-3.532 2.931 -1.707 -2.666 -3.923 -1.220 -5.320 0.125 11.226" Properties=species:S:1:pos:R:3 pbc="T T T"
Li -2.003 -1.946 0.804
Li -2.660 0.063 5.613
Li -6.416 1.575 8.959
Bi -5.252 1.548 6.502
Bi 0.000 0.000 0.000
Bi -3.099 -0.496 -1.463
Bi -3.167 -1.918 3.261
Ca -5.759 -0.433 4.150
Sr -2.970 1.494 1.687
Sr -5.449 -1.864 8.076
```

energy of formation from the pure elements: -704 meV per atom
DOS at the Fermi energy: 0.83 states/eV/cell
space group: P-4m2 (115)
magnetic moment: 0.000 μB/f.u.

[4]
SrLiCaBi: optimized geometry, GGA-PBE.

Cell and atoms, written as extended XYZ:
```
4
Lattice="5.665 0.000 0.000 2.833 4.906 0.000 2.833 1.635 4.626" Properties=species:S:1:pos:R:3 pbc="T T T"
Sr 2.833 1.635 1.156
Ca 8.498 4.906 3.469
Li 0.000 0.000 0.000
Bi 5.665 3.271 2.313
```

energy of formation from the pure elements: -464 meV per atom
DOS at the Fermi energy: 1.25 states/eV/cell
space group: F-43m (216)
magnetic moment: 0.000 μB/f.u.

[5]
Li2Ca3Tb2Bi4: optimized geometry, GGA-PBE.

Cell and atoms, written as extended XYZ:
```
11
Lattice="-1.082 1.198 4.588 4.513 -1.403 -1.147 3.998 15.374 -3.071" Properties=species:S:1:pos:R:3 pbc="T T T"
Ca 0.965 3.710 -0.741
Ca 3.033 11.664 -2.330
Ca 0.000 0.000 0.000
Bi 6.171 13.009 -1.941
Bi 4.058 4.883 -0.318
Bi 3.372 10.286 0.688
Bi 1.259 2.160 2.311
Li 3.063 1.058 0.446
Li 4.367 14.111 -0.076
Tb 2.512 6.977 1.349
Tb 4.918 8.192 -0.979
```

energy of formation from the pure elements: -677 meV per atom
DOS at the Fermi energy: 4.08 states/eV/cell
space group: P-3m1 (164)
magnetic moment: 0.388 μB/f.u.

[6]
Li2CaBiTe: optimized geometry, GGA-PBE.

Cell and atoms, written as extended XYZ:
```
5
Lattice="5.101 0.000 0.000 0.000 6.178 0.000 0.000 0.000 5.101" Properties=species:S:1:pos:R:3 pbc="T T T"
Bi 0.000 0.000 0.000
Ca 0.000 3.089 0.000
Li 0.000 0.000 2.551
Li 2.551 0.000 0.000
Te 2.551 3.089 2.551
```

DOS at the Fermi energy: 3.95 states/eV/cell
space group: P4/mmm (123)
ΔE_f (raw): -0.4561 eV/atom
magnetic moment: 0.000 μB/f.u.

[7]
Li2CaTiBi: optimized geometry, GGA-PBE.

Cell and atoms, written as extended XYZ:
```
5
Lattice="5.070 0.000 0.000 0.000 5.679 0.000 0.000 0.000 5.070" Properties=species:S:1:pos:R:3 pbc="T T T"
Li 2.535 0.000 0.000
Li 0.000 0.000 2.535
Ti 0.000 0.000 0.000
Ca 0.000 2.839 0.000
Bi 2.535 2.839 2.535
```

energy of formation from the pure elements: 681 meV per atom
DOS at the Fermi energy: 4.49 states/eV/cell
space group: P4/mmm (123)
magnetic moment: 3.275 μB/f.u.

[8]
LiCaTlBi: optimized geometry, GGA-PBE.

Cell and atoms, written as extended XYZ:
```
4
Lattice="5.386 0.000 0.000 2.693 4.664 0.000 2.693 1.555 4.398" Properties=species:S:1:pos:R:3 pbc="T T T"
Li 0.000 0.000 0.000
Tl 2.693 1.555 1.099
Ca 5.386 3.110 2.199
Bi 8.079 4.664 3.298
```

energy of formation from the pure elements: -439 meV per atom
DOS at the Fermi energy: 2.67 states/eV/cell
space group: F-43m (216)
energy above the most stable polymorph in this dataset: 7 meV/atom
magnetic moment: 0.000 μB/f.u.

[9]
LiCaTlBi: optimized geometry, GGA-PBE.

Cell and atoms, written as extended XYZ:
```
4
Lattice="5.049 0.000 0.000 0.000 5.049 -0.002 -2.524 -2.526 4.331" Properties=species:S:1:pos:R:3 pbc="T T T"
Tl 0.000 -0.003 4.331
Bi 0.000 0.001 0.000
Ca 2.524 -0.001 2.165
Li 0.000 2.523 2.164
```

energy of formation from the pure elements: -445 meV per atom
DOS at the Fermi energy: 1.55 states/eV/cell
space group: I-4m2 (119)
energy above the most stable polymorph in this dataset: 0 meV/atom
magnetic moment: 0.000 μB/f.u.

[10]
Li2CaVBi: optimized geometry, GGA-PBE.

Cell and atoms, written as extended XYZ:
```
5
Lattice="4.995 0.000 0.000 0.000 5.646 0.000 0.000 0.000 4.995" Properties=species:S:1:pos:R:3 pbc="T T T"
V 0.000 0.000 0.000
Ca 0.000 2.823 0.000
Bi 2.497 2.823 2.497
Li 2.497 0.000 0.000
Li 0.000 0.000 2.497
```

energy of formation from the pure elements: 603 meV per atom
DOS at the Fermi energy: 3.12 states/eV/cell
space group: P4/mmm (123)
energy above the most stable polymorph in this dataset: 0 meV/atom
magnetic moment: 4.215 μB/f.u.

[11]
Li2CaVBi: optimized geometry, GGA-PBE.

Cell and atoms, written as extended XYZ:
```
5
Lattice="5.142 0.000 0.000 0.000 5.260 0.000 0.000 0.000 5.142" Properties=species:S:1:pos:R:3 pbc="T T T"
Li 2.571 0.000 0.000
Li 0.000 0.000 2.571
V 0.000 2.630 0.000
Bi 2.571 2.630 2.571
Ca 0.000 0.000 0.000
```

energy of formation from the pure elements: 1009 meV per atom
DOS at the Fermi energy: 3.60 states/eV/cell
space group: P4/mmm (123)
energy above the most stable polymorph in this dataset: 406 meV/atom
magnetic moment: 4.131 μB/f.u.

[12]
LiCaZnBi: optimized geometry, GGA-PBE.

Cell and atoms, written as extended XYZ:
```
4
Lattice="5.211 0.000 0.000 2.605 4.513 0.000 2.605 1.504 4.255" Properties=species:S:1:pos:R:3 pbc="T T T"
Li 2.605 1.504 1.064
Bi 5.211 3.008 2.127
Zn 0.000 0.000 0.000
Ca 7.816 4.513 3.191
```

energy of formation from the pure elements: -434 meV per atom
DOS at the Fermi energy: 0.19 states/eV/cell
space group: F-43m (216)
magnetic moment: 0.000 μB/f.u.

[13]
Li2CaZrBi: optimized geometry, GGA-PBE.

Cell and atoms, written as extended XYZ:
```
5
Lattice="-1.009 3.904 3.219 -5.906 -1.084 -0.536 0.232 -3.243 4.006" Properties=species:S:1:pos:R:3 pbc="T T T"
Zr -3.342 -0.212 3.344
Li -0.504 1.952 1.609
Li 0.116 -1.622 2.003
Ca -2.953 -0.542 -0.268
Bi 0.000 0.000 0.000
```

energy of formation from the pure elements: 476 meV per atom
DOS at the Fermi energy: 3.86 states/eV/cell
space group: P4/mmm (123)
magnetic moment: 2.992 μB/f.u.

[14]
Ca2LuBi: optimized geometry, GGA-PBE.

Cell and atoms, written as extended XYZ:
```
4
Lattice="3.655 0.000 0.000 1.827 3.165 0.000 1.827 1.055 12.331" Properties=species:S:1:pos:R:3 pbc="T T T"
Ca 1.827 1.055 9.109
Ca 5.482 3.165 3.223
Bi 0.000 0.000 0.000
Lu 3.655 2.110 6.166
```

energy of formation from the pure elements: 42 meV per atom
DOS at the Fermi energy: 4.33 states/eV/cell
space group: R-3m (166)
magnetic moment: 0.495 μB/f.u.

[15]
CaLuBi2: optimized geometry, GGA-PBE.

Cell and atoms, written as extended XYZ:
```
4
Lattice="-1.990 -3.667 -1.501 -2.290 -2.579 2.787 -7.755 1.952 -1.037" Properties=species:S:1:pos:R:3 pbc="T T T"
Ca -6.017 -2.147 0.125
Bi -9.129 -3.155 0.163
Bi -2.906 -1.139 0.086
Lu 0.000 0.000 0.000
```

energy of formation from the pure elements: -683 meV per atom
DOS at the Fermi energy: 2.13 states/eV/cell
space group: R-3m (166)
energy above the most stable polymorph in this dataset: 0 meV/atom
magnetic moment: 0.000 μB/f.u.

[16]
CaLuBi2: optimized geometry, GGA-PBE.

Cell and atoms, written as extended XYZ:
```
4
Lattice="5.526 0.000 0.000 2.763 4.785 0.000 2.763 1.595 4.512" Properties=species:S:1:pos:R:3 pbc="T T T"
Bi 2.763 1.595 1.128
Bi 8.288 4.785 3.384
Ca 5.526 3.190 2.256
Lu 0.000 0.000 0.000
```

energy of formation from the pure elements: -557 meV per atom
DOS at the Fermi energy: 2.76 states/eV/cell
space group: Fm-3m (225)
energy above the most stable polymorph in this dataset: 125 meV/atom
magnetic moment: 0.000 μB/f.u.

[17]
CaLuBi2: optimized geometry, GGA-PBE.

Cell and atoms, written as extended XYZ:
```
4
Lattice="3.767 0.000 0.000 0.000 3.767 0.000 0.000 0.000 8.404" Properties=species:S:1:pos:R:3 pbc="T T T"
Ca 1.884 1.884 4.202
Bi 0.000 0.000 6.416
Bi 0.000 0.000 1.989
Lu 1.884 1.884 0.000
```

energy of formation from the pure elements: -594 meV per atom
DOS at the Fermi energy: 1.90 states/eV/cell
space group: P4/mmm (123)
energy above the most stable polymorph in this dataset: 89 meV/atom
magnetic moment: 0.000 μB/f.u.

[18]
CaLuBiPb: optimized geometry, GGA-PBE.

Cell and atoms, written as extended XYZ:
```
4
Lattice="-5.429 0.896 0.243 -2.986 -2.260 4.039 -2.092 3.174 3.985" Properties=species:S:1:pos:R:3 pbc="T T T"
Lu 0.000 0.000 0.000
Ca -5.253 0.905 4.133
Pb -2.627 0.452 2.067
Bi -7.880 1.357 6.200
```

energy of formation from the pure elements: -439 meV per atom
DOS at the Fermi energy: 3.91 states/eV/cell
space group: F-43m (216)
magnetic moment: 0.000 μB/f.u.

[19]
CaLuSnBi: optimized geometry, GGA-PBE.

Cell and atoms, written as extended XYZ:
```
4
Lattice="5.455 0.000 0.000 2.727 4.724 0.000 2.727 1.575 4.454" Properties=species:S:1:pos:R:3 pbc="T T T"
Lu 8.182 4.724 3.340
Bi 5.455 3.149 2.227
Sn 0.000 0.000 0.000
Ca 2.727 1.575 1.113
```

energy of formation from the pure elements: -494 meV per atom
DOS at the Fermi energy: 3.45 states/eV/cell
space group: F-43m (216)
magnetic moment: 0.001 μB/f.u.

[20]
CaMg2Bi2: optimized geometry, GGA-PBE.

Cell and atoms, written as extended XYZ:
```
10
Lattice="-6.479 3.625 -4.271 -4.230 -7.446 0.098 -1.654 0.984 3.344" Properties=species:S:1:pos:R:3 pbc="T T T"
Bi -7.498 1.080 -1.801
Bi -8.701 -3.154 -1.150
Bi -3.663 0.316 0.321
Bi -4.865 -3.918 0.972
Ca -5.355 -1.911 -2.087
Ca 0.000 0.000 0.000
Mg -8.323 -1.435 -3.695
Mg -2.387 -2.387 -0.478
Mg -6.177 -5.173 -1.534
Mg -4.532 1.351 -2.639
```

energy of formation from the pure elements: -288 meV per atom
DOS at the Fermi energy: 4.26 states/eV/cell
space group: P4/mbm (127)
energy above the most stable polymorph in this dataset: 250 meV/atom
magnetic moment: 0.000 μB/f.u.

Energy readings, ordered: -3.387 -3.351 -3.367 -2.833 -3.824 -3.026 -2.840 -2.979 -2.986 -3.163 -2.757 -2.702 -3.176 -3.059 -4.254 -4.128 -4.165 -3.967 -4.096 -2.878 eV per atom